# 1
Entry from the Alexandria database: a relaxed BaZn2Tc crystal (GGA-PBEsol).

Cell: 2.9214 5.3494 5.9000 Å, 116.96 104.33 90.00°
Positions (direct):
Ba (0.5056, 0.5056, 0.0112)
Tc (0.2833, 0.7833, 0.5666)
Zn (0.9942, 0.9942, 0.9883)
Zn (0.7169, 0.2169, 0.4339)

Results
* raw total energy: -3.506 eV per atom


# 2
Entry from the Alexandria database: a relaxed BaZnTc2 crystal (GGA-PBEsol).

Cell: 4.7165 4.7165 4.7165 Å, 89.18 60.47 119.53°
Positions (direct):
Ba (0.5000, 0.7500, 0.7500)
Tc (0.0000, 0.0000, 0.0000)
Tc (0.5000, 0.2500, 0.2500)
Zn (0.0000, 0.5000, 0.5000)

Results
* raw total energy: -5.519 eV per atom


# 3
Entry from the Alexandria database: a relaxed BaZrTc3 crystal (GGA-PBEsol).

Cell: 4.8956 4.8956 4.8956 Å, 90.00 90.00 90.00°
Each line ends with the local moment (μB).
Positions (direct):
Ba (0.5000, 0.5000, 0.5000)  0.03
Zr (0.0000, 0.0000, 0.0000)  -0.11
Tc (0.0000, 0.5000, 0.0000)  1.02
Tc (0.0000, 0.0000, 0.5000)  1.02
Tc (0.5000, 0.0000, 0.0000)  1.02

Results
* raw total energy: -7.430 eV per atom


# 4
Entry from the Alexandria database: a relaxed BaZrTc2 crystal (GGA-PBEsol).

Cell: 3.0366 3.0366 9.3893 Å, 90.00 90.00 113.36°
Positions (direct):
Ba (0.5000, 0.5000, 0.0000)
Tc (0.0000, 0.0000, 0.2804)
Tc (0.0000, 0.0000, 0.7196)
Zr (0.5000, 0.5000, 0.5000)

Results
* raw total energy: -7.783 eV per atom
* relative energy among the computed polymorphs: 0 meV per atom


# 5
Entry from the Alexandria database: a relaxed Ba2ZrTc crystal (GGA-PBEsol).

Cell: 3.2703 3.2703 11.1393 Å, 90.00 90.00 116.42°
Positions (direct):
Ba (0.0000, 0.0000, 0.2879)
Ba (0.0000, 0.0000, 0.7121)
Tc (0.5000, 0.5000, 0.5000)
Zr (0.5000, 0.5000, 0.0000)

Results
* raw total energy: -5.067 eV per atom
* relative energy among the computed polymorphs: 144 meV per atom


# 6
Entry from the Alexandria database: a relaxed BaZrTc2 crystal (GGA-PBEsol).

Cell: 3.2734 4.4911 5.2032 Å, 90.00 90.00 90.00°
Positions (direct):
Ba (0.0000, 0.5000, 0.5000)
Tc (0.0000, 0.0000, 0.0000)
Tc (0.5000, 0.0000, 0.5000)
Zr (0.5000, 0.5000, 0.0000)

Results
* raw total energy: -7.479 eV per atom
* relative energy among the computed polymorphs: 304 meV per atom


# 7
Entry from the Alexandria database: a relaxed Ba2ZrTc crystal (GGA-PBEsol).

Cell: 4.3298 4.3298 5.6191 Å, 90.00 90.00 90.00°
Positions (direct):
Ba (0.0000, 0.5000, 0.0000)
Ba (0.5000, 0.0000, 0.0000)
Tc (0.5000, 0.5000, 0.5000)
Zr (0.0000, 0.0000, 0.5000)

Results
* raw total energy: -5.203 eV per atom
* relative energy among the computed polymorphs: 9 meV per atom


# 8
Entry from the Alexandria database: a relaxed Ba2ZrTc crystal (GGA-PBEsol).

Cell: 4.3257 4.3257 6.3864 Å, 109.80 109.80 90.00°
Positions (direct):
Ba (0.7500, 0.2500, 0.5000)
Ba (0.2500, 0.7500, 0.5000)
Tc (0.5000, 0.5000, 0.0000)
Zr (0.0000, 0.0000, 0.0000)

Results
* raw total energy: -5.211 eV per atom
* relative energy among the computed polymorphs: 0 meV per atom


# 9
Entry from the Alexandria database: a relaxed Ba4Te crystal (GGA-PBEsol).

Cell: 4.6534 4.6534 11.6168 Å, 101.55 101.55 90.00°
Positions (direct):
Ba (0.7500, 0.2500, 0.5000)
Ba (0.2500, 0.7500, 0.5000)
Ba (0.5811, 0.5811, 0.1622)
Ba (0.4189, 0.4189, 0.8378)
Te (0.0000, 0.0000, 0.0000)

Results
* formation energy from raw total energies: -0.260 eV/atom
* raw total energy: -2.685 eV per atom
* relative energy among the computed polymorphs: 202 meV per atom


# 10
Entry from the Alexandria database: a relaxed Ba4Te crystal (GGA-PBEsol).

Cell: 6.9408 6.9408 6.9408 Å, 109.47 109.47 109.47°
Positions (direct):
Ba (0.0000, 0.0000, 0.5000)
Ba (0.0000, 0.5000, 0.0000)
Ba (0.5000, 0.0000, 0.0000)
Ba (0.5000, 0.5000, 0.5000)
Te (0.0000, 0.0000, 0.0000)

Results
* formation energy from raw total energies: -0.462 eV/atom
* raw total energy: -2.887 eV per atom
* relative energy among the computed polymorphs: 0 meV per atom


# 11
Entry from the Alexandria database: a relaxed BaTe2 crystal (GGA-PBEsol).

Cell: 4.5014 8.1886 11.5492 Å, 90.00 90.00 90.00°
Positions (direct):
Te (0.7500, 0.3622, 0.6590)
Te (0.2500, 0.1378, 0.1590)
Te (0.7500, 0.8622, 0.8410)
Te (0.2500, 0.6378, 0.3410)
Te (0.7500, 0.3965, 0.0459)
Te (0.2500, 0.1035, 0.5459)
Te (0.7500, 0.8965, 0.4541)
Te (0.2500, 0.6035, 0.9541)
Ba (0.7500, 0.8148, 0.1473)
Ba (0.2500, 0.6852, 0.6473)
Ba (0.7500, 0.3147, 0.3527)
Ba (0.2500, 0.1852, 0.8527)

Results
* formation energy from raw total energies: -1.202 eV/atom
* raw total energy: -4.269 eV per atom


# 12
Entry from the Alexandria database: a relaxed Ba2Te crystal (GGA-PBEsol).

Cell: 4.8046 5.1829 9.7406 Å, 90.00 104.28 90.00°
Positions (direct):
Ba (0.7556, 0.7500, 0.5112)
Ba (0.4288, 0.7500, 0.8575)
Ba (0.2444, 0.2500, 0.4888)
Ba (0.5712, 0.2500, 0.1425)
Te (0.1049, 0.7500, 0.2099)
Te (0.8951, 0.2500, 0.7901)

Results
* formation energy from raw total energies: -0.949 eV/atom
* raw total energy: -3.557 eV per atom


# 13
Entry from the Alexandria database: a relaxed BaTe crystal (GGA-PBEsol).

Cell: 4.9247 4.9247 4.9247 Å, 60.00 60.00 60.00°
Positions (direct):
Te (0.5000, 0.5000, 0.5000)
Ba (0.0000, 0.0000, 0.0000)

Results
* formation energy from raw total energies: -1.759 eV/atom
* raw total energy: -4.596 eV per atom


# 14
Entry from the Alexandria database: a relaxed BaTe2 crystal (GGA-PBEsol).

Cell: 4.6413 4.6383 6.2460 Å, 103.96 118.62 91.78°
Positions (direct):
Te (0.2154, 0.0702, 0.2850)
Te (0.7846, 0.9298, 0.7149)
Ba (0.5000, 0.5000, 0.0000)

Results
* formation energy from raw total energies: -1.128 eV/atom
* raw total energy: -4.195 eV per atom


# 15
Entry from the Alexandria database: a relaxed BaTe2 crystal (GGA-PBEsol).

Cell: 3.2628 6.1248 6.1248 Å, 90.00 90.00 90.00°
Positions (direct):
Te (0.5000, 0.0000, 0.5000)
Te (0.5000, 0.5000, 0.0000)
Ba (0.0000, 0.0000, 0.0000)

Results
* formation energy from raw total energies: -0.708 eV/atom
* raw total energy: -3.775 eV per atom


# 16
Entry from the Alexandria database: a relaxed Ba3Te2 crystal (GGA-PBEsol).

Cell: 4.8108 4.8108 12.4741 Å, 78.88 78.88 60.00°
Positions (direct):
Te (0.6101, 0.6101, 0.1696)
Te (0.3899, 0.3899, 0.8304)
Ba (0.0000, 0.0000, 0.0000)
Ba (0.2225, 0.2225, 0.3324)
Ba (0.7775, 0.7775, 0.6676)

Results
* formation energy from raw total energies: -1.331 eV/atom
* raw total energy: -4.030 eV per atom


# 17
Entry from the Alexandria database: a relaxed BaTe crystal (GGA-PBEsol).

Cell: 4.3581 4.7343 4.7343 Å, 120.00 90.00 90.00°
Positions (direct):
Te (0.5000, 0.3333, 0.6667)
Ba (0.0000, 0.0000, 0.0000)

Results
* formation energy from raw total energies: -1.644 eV/atom
* raw total energy: -4.481 eV per atom


# 18
Entry from the Alexandria database: a relaxed BaTe2 crystal (GGA-PBEsol).

Cell: 6.7255 6.7255 6.7255 Å, 96.34 116.41 116.41°
Positions (direct):
Te (0.2203, 0.3602, 0.8602)
Te (0.7797, 0.6398, 0.1398)
Te (0.5000, 0.8602, 0.6398)
Te (0.5000, 0.1398, 0.3602)
Ba (0.0000, 0.2500, 0.2500)
Ba (0.0000, 0.7500, 0.7500)

Results
* formation energy from raw total energies: -1.172 eV/atom
* raw total energy: -4.239 eV per atom


# 19
Entry from the Alexandria database: a relaxed BaTlTe3 crystal (GGA-PBEsol).

Cell: 6.3271 6.3271 6.3271 Å, 90.00 90.00 90.00°
Positions (direct):
Tl (0.5000, 0.5000, 0.5000)
Te (0.0000, 0.5000, 0.0000)
Te (0.0000, 0.0000, 0.5000)
Te (0.5000, 0.0000, 0.0000)
Ba (0.0000, 0.0000, 0.0000)

Results
* formation energy from raw total energies: 0.128 eV/atom
* raw total energy: -2.943 eV per atom


# 20
Entry from the Alexandria database: a relaxed Ba2TlTe crystal (GGA-PBEsol).

Cell: 4.9536 4.9536 6.9703 Å, 90.00 90.00 90.00°
Positions (direct):
Ba (0.0000, 0.0000, 0.5000)
Ba (0.5000, 0.5000, 0.0000)
Te (0.0000, 0.0000, 0.0000)
Tl (0.5000, 0.5000, 0.5000)

Results
* formation energy from raw total energies: -0.849 eV/atom
* raw total energy: -3.463 eV per atom